Record 1
This record from the Alexandria database describes BeSbI2O at its PBEsol-relaxed geometry. The functional is SCAN.

Values from the calculation:
- Fermi-level density of states: 1.8 states/eV per cell
- Formation energy (no corrections): 0.29 eV per atom

abc: 5.9715 5.9715 4.0379
angles: 90.00 90.00 90.00
With the nearest neighbours (Å) after each atom.
Space group P4/mmm (No. 123)
One atom of each set of equivalent atoms:
Be1 0.0000 0.0000 0.0000 (multiplicity 1)  8 I 3.60
Sb1 0.5000 0.5000 0.5000 (multiplicity 1)  2 O 2.02
I1 0.0000 0.5000 0.5000 (multiplicity 2)  2 Sb 2.99
O1 0.5000 0.5000 0.0000 (multiplicity 1)  2 Sb 2.02

Record 2
This record from the Alexandria database describes ScBeI2O at its PBEsol-relaxed geometry. The functional is SCAN.

Values from the calculation:
- Fermi-level density of states: 1.0 states/eV per cell
- Formation energy (no corrections): -0.87 eV per atom

abc: 5.4882 5.4882 3.2556
angles: 90.00 90.00 90.00
With the nearest neighbours (Å) after each atom.
Space group P4/mmm (No. 123)
One atom of each set of equivalent atoms:
Sc1 0.0000 0.0000 0.0000 (multiplicity 1)  8 I 3.19, 2 Sc 3.26
Be1 0.5000 0.5000 0.5000 (multiplicity 1)  2 O 1.63
I1 0.0000 0.5000 0.5000 (multiplicity 2)  2 Be 2.74
O1 0.5000 0.5000 0.0000 (multiplicity 1)  2 Be 1.63

Record 3
This record from the Alexandria database describes BeSeI2O at its PBEsol-relaxed geometry. The functional is SCAN.

Values from the calculation:
- Fermi-level density of states: 1.8 states/eV per cell
- Formation energy (no corrections): 0.53 eV per atom

abc: 5.6659 5.6659 3.7727
angles: 90.00 90.00 90.00
With the nearest neighbours (Å) after each atom.
Space group P4/mmm (No. 123)
One atom of each set of equivalent atoms:
Be1 0.0000 0.0000 0.0000 (multiplicity 1)  8 I 3.40, 2 Be 3.77
Se1 0.5000 0.5000 0.5000 (multiplicity 1)  2 O 1.89
I1 0.0000 0.5000 0.5000 (multiplicity 2)  2 Se 2.83
O1 0.5000 0.5000 0.0000 (multiplicity 1)  2 Se 1.89

Record 4
This record from the Alexandria database describes SrBeI2O at its PBEsol-relaxed geometry. The functional is SCAN.

Values from the calculation:
- Fermi-level density of states: 4.3 states/eV per cell
- Formation energy (no corrections): -0.13 eV per atom

abc: 6.2484 6.2484 4.2588
angles: 90.00 90.00 90.00
With the nearest neighbours (Å) after each atom.
Space group P4/mmm (No. 123)
One atom of each set of equivalent atoms:
Sr1 0.0000 0.0000 0.0000 (multiplicity 1)  2 O 2.13
Be1 0.5000 0.5000 0.5000 (multiplicity 1)  8 I 3.78
I1 0.0000 0.5000 0.0000 (multiplicity 2)  2 Sr 3.12
O1 0.0000 0.0000 0.5000 (multiplicity 1)  2 Sr 2.13

Repeat the first record exactly.
This record from the Alexandria database describes BeSbI2O at its PBEsol-relaxed geometry. The functional is SCAN.

Values from the calculation:
- Fermi-level density of states: 1.8 states/eV per cell
- Formation energy (no corrections): 0.29 eV per atom

abc: 5.9715 5.9715 4.0379
angles: 90.00 90.00 90.00
With the nearest neighbours (Å) after each atom.
Space group P4/mmm (No. 123)
One atom of each set of equivalent atoms:
Be1 0.0000 0.0000 0.0000 (multiplicity 1)  8 I 3.60
Sb1 0.5000 0.5000 0.5000 (multiplicity 1)  2 O 2.02
I1 0.0000 0.5000 0.5000 (multiplicity 2)  2 Sb 2.99
O1 0.5000 0.5000 0.0000 (multiplicity 1)  2 Sb 2.02